Entry 1:
# PBE Si2PbAu2, relaxed
# - magnetic moment (μB per formula unit) = 0.0
# - space-group type = I4/mmm
# - E_form (uncorrected) (eV/f.u.) = 0.26
# - energy relative to the lowest polymorph listed for this composition (meV per atom) = 0
data_Si2PbAu2
_chemical_formula_sum 'Si2 Pb1 Au2'
_cell_length_a 4.4562
_cell_length_b 4.4562
_cell_length_c 5.9763
_cell_angle_alpha 68.11
_cell_angle_beta 68.11
_cell_angle_gamma 90.00
_symmetry_space_group_name_H-M 'P 1'
_symmetry_Int_Tables_number 1
loop_
_symmetry_equiv_pos_as_xyz
'x,y,z'
loop_
_atom_site_label
_atom_site_fract_x
_atom_site_fract_y
_atom_site_fract_z
Si1 0.3830 0.3830 0.2340
Si2 0.6170 0.6170 0.7660
Au1 0.7500 0.2500 0.5000
Au2 0.2500 0.7500 0.5000
Pb1 0.0000 0.0000 0.0000

=====

Entry 2:
# PBE K2LiY, relaxed
# - magnetic moment (μB per formula unit) = 0.3
# - space-group type = Imm2
# - formation energy from the elements (meV/atom) = 441
data_K2LiY
_chemical_formula_sum 'K2 Li1 Y1'
_cell_length_a 7.9460
_cell_length_b 7.9460
_cell_length_c 7.9460
_cell_angle_alpha 153.25
_cell_angle_beta 127.63
_cell_angle_gamma 59.76
_symmetry_space_group_name_H-M 'P 1'
_symmetry_Int_Tables_number 1
loop_
_symmetry_equiv_pos_as_xyz
'x,y,z'
loop_
_atom_site_label
_atom_site_fract_x
_atom_site_fract_y
_atom_site_fract_z
K1 0.2804 0.7804 0.5000
K2 0.9959 0.9959 0.0000
Y1 0.7093 0.2093 0.5000
Li1 0.5144 0.5144 0.0000

=====

Across the entries above, theoretical density takes the values 10.82; 1.63 g/cm3, respectively.